[1]
# Sr3CuGe2O8 (PBE, relaxed)
# Mass density = 5077 kg/m³
# Formation energy without anion corrections = -47.39 kcal/mol of atoms
data_Sr3CuGe2O8
_chemical_formula_sum 'Sr3 Cu1 Ge2 O8'
_cell_length_a 5.6343
_cell_length_b 5.6343
_cell_length_c 7.1337
_cell_angle_alpha 90.00
_cell_angle_beta 90.00
_cell_angle_gamma 120.00
_symmetry_space_group_name_H-M 'P -3 m 1'
_symmetry_Int_Tables_number 164
_symmetry_space_group_name_Hall '-P 3 2"'
loop_
_atom_site_label
_atom_site_type_symbol
_atom_site_fract_x
_atom_site_fract_y
_atom_site_fract_z
Sr1 Sr 0.0000 0.0000 0.0000
Sr2 Sr 0.3333 0.6667 0.6444
Cu1 Cu 0.0000 0.0000 0.5000
Ge1 Ge 0.3333 0.6667 0.2100
O1 O 0.1666 0.3332 0.3136
O2 O 0.3333 0.6667 0.9687

---

[2]
# SrCuGeO4 (PBE, relaxed)
# Mass density = 4771 kg/m³
# Formation energy without anion corrections = -38.06 kcal/mol of atoms
data_SrCuGeO4
_chemical_formula_sum 'Sr2 Cu2 Ge2 O8'
_cell_length_a 5.910
_cell_length_b 5.487
_cell_length_c 6.440
_cell_angle_alpha 90.00
_cell_angle_beta 106.40
_cell_angle_gamma 90.00
_symmetry_space_group_name_H-M 'P 1 21/m 1'
_symmetry_Int_Tables_number 11
loop_
_symmetry_equiv_pos_as_xyz
'x,y,z'
'-x,-y,-z'
'-x,y+1/2,-z'
'x,-y+1/2,z'
loop_
_atom_site_label
_atom_site_type_symbol
_atom_site_fract_x
_atom_site_fract_y
_atom_site_fract_z
Sr1 Sr 0.233 0.250 0.469
Cu1 Cu 0.446 0.250 0.006
Ge1 Ge 0.191 0.750 0.152
O1 O 0.012 0.750 0.893
O2 O 0.113 0.750 0.393
O3 O 0.440 0.522 0.197

---

[3]
# SrCu2GeO4 (PBE, relaxed)
# Mass density = 5441 kg/m³
# Formation energy without anion corrections = -34.35 kcal/mol of atoms
data_SrCu2GeO4
_chemical_formula_sum 'Sr2 Cu4 Ge2 O8'
_cell_length_a 5.396
_cell_length_b 5.801
_cell_length_c 6.851
_cell_angle_alpha 90.00
_cell_angle_beta 90.00
_cell_angle_gamma 90.00
_symmetry_space_group_name_H-M 'I 2 2 2'
_symmetry_Int_Tables_number 23
loop_
_symmetry_equiv_pos_as_xyz
'x,y,z'
'-x,-y,z'
'x,-y,-z'
'-x,y,-z'
'x+1/2,y+1/2,z+1/2'
'-x+1/2,-y+1/2,z+1/2'
'x+1/2,-y+1/2,-z+1/2'
'-x+1/2,y+1/2,-z+1/2'
loop_
_atom_site_label
_atom_site_type_symbol
_atom_site_fract_x
_atom_site_fract_y
_atom_site_fract_z
Sr1 Sr 0.000 0.000 0.000
Cu1 Cu 0.000 0.500 0.188
Ge1 Ge 0.000 0.000 0.500
O1 O 0.192 0.171 0.341

---

[4]
# Sr2CuGe2O7 (PBE, relaxed)
# Mass density = 4443 kg/m³
# Formation energy without anion corrections = -45.72 kcal/mol of atoms
data_Sr2CuGe2O7
_chemical_formula_sum 'Sr4 Cu2 Ge4 O14'
_cell_length_a 8.376
_cell_length_b 8.376
_cell_length_c 5.285
_cell_angle_alpha 90.00
_cell_angle_beta 90.00
_cell_angle_gamma 90.00
_symmetry_space_group_name_H-M 'P -4 21 m'
_symmetry_Int_Tables_number 113
loop_
_symmetry_equiv_pos_as_xyz
'x,y,z'
'y,-x,-z'
'-x,-y,z'
'-y,x,-z'
'x+1/2,-y+1/2,-z'
'y+1/2,x+1/2,z'
'-x+1/2,y+1/2,-z'
'-y+1/2,-x+1/2,z'
loop_
_atom_site_label
_atom_site_type_symbol
_atom_site_fract_x
_atom_site_fract_y
_atom_site_fract_z
Sr1 Sr 0.165 0.335 0.011
Cu1 Cu 0.000 0.000 0.500
Ge1 Ge 0.141 0.641 0.533
O1 O 0.000 0.500 0.674
O2 O 0.086 0.820 0.689
O3 O 0.135 0.635 0.204

---

[5]
# Tb2CuGe4O12 (PBE, relaxed)
# Mass density = 5486 kg/m³
# Formation energy without anion corrections = -47.87 kcal/mol of atoms
data_Tb2CuGe4O12
_chemical_formula_sum 'Tb2 Cu1 Ge4 O12'
_cell_length_a 4.989
_cell_length_b 7.316
_cell_length_c 8.051
_cell_angle_alpha 66.24
_cell_angle_beta 86.75
_cell_angle_gamma 76.67
_symmetry_space_group_name_H-M 'P -1'
_symmetry_Int_Tables_number 2
loop_
_symmetry_equiv_pos_as_xyz
'x,y,z'
'-x,-y,-z'
loop_
_atom_site_label
_atom_site_type_symbol
_atom_site_fract_x
_atom_site_fract_y
_atom_site_fract_z
Tb1 Tb 0.047 0.270 0.451
Cu1 Cu 0.000 0.500 0.000
Ge1 Ge 0.418 0.884 0.797
Ge2 Ge 0.460 0.670 0.224
O1 O 0.206 0.924 0.615
O2 O 0.227 0.567 0.388
O3 O 0.247 0.504 0.798
O4 O 0.258 0.278 0.192
O5 O 0.267 0.815 0.013
O6 O 0.421 0.156 0.706

---

[6]
# CuGeTeO6 (PBE, relaxed)
# Mass density = 5955 kg/m³
# Formation energy without anion corrections = -23.09 kcal/mol of atoms
data_CuGeTeO6
_chemical_formula_sum 'Cu2 Ge2 Te2 O12'
_cell_length_a 5.0539
_cell_length_b 5.0539
_cell_length_c 9.0706
_cell_angle_alpha 90.00
_cell_angle_beta 90.00
_cell_angle_gamma 120.00
_symmetry_space_group_name_H-M 'P -3 1 c'
_symmetry_Int_Tables_number 163
_symmetry_space_group_name_Hall '-P 3 2c'
loop_
_atom_site_label
_atom_site_type_symbol
_atom_site_fract_x
_atom_site_fract_y
_atom_site_fract_z
Cu1 Cu 0.0000 0.0000 0.0000
Ge1 Ge 0.3333 0.6667 0.2500
Te1 Te 0.3333 0.6667 0.7500
O1 O 0.0050 0.3590 0.1338

---

[7]
# ThCuGeO (PBE, relaxed)
# Mass density = 9483 kg/m³
# Formation energy without anion corrections = -39.04 kcal/mol of atoms
data_ThCuGeO
_chemical_formula_sum 'Th2 Cu2 Ge2 O2'
_cell_length_a 4.093
_cell_length_b 4.093
_cell_length_c 8.033
_cell_angle_alpha 90.00
_cell_angle_beta 90.00
_cell_angle_gamma 90.00
_symmetry_space_group_name_H-M 'P 4/n m m'
_symmetry_Int_Tables_number 129
loop_
_symmetry_equiv_pos_as_xyz
'x,y,z'
'-x,-y,-z'
'-y+1/2,x,z'
'y+1/2,-x,-z'
'-x+1/2,-y+1/2,z'
'x+1/2,y+1/2,-z'
'y,-x+1/2,z'
'-y,x+1/2,-z'
'x+1/2,-y,-z'
'-x+1/2,y,z'
'-y,-x,-z'
'y,x,z'
'-x,y+1/2,-z'
'x,-y+1/2,z'
'y+1/2,x+1/2,-z'
'-y+1/2,-x+1/2,z'
loop_
_atom_site_label
_atom_site_type_symbol
_atom_site_fract_x
_atom_site_fract_y
_atom_site_fract_z
Th1 Th 0.250 0.250 0.161
Cu1 Cu 0.250 0.750 0.500
Ge1 Ge 0.250 0.250 0.663
O1 O 0.250 0.750 0.000

---

[8]
# Tl2CuGeO6 (PBE, relaxed)
# Mass density = 8695 kg/m³
# Formation energy without anion corrections = -20.09 kcal/mol of atoms
data_Tl2CuGeO6
_chemical_formula_sum 'Tl4 Cu2 Ge2 O12'
_cell_length_a 10.174
_cell_length_b 5.389
_cell_length_c 5.157
_cell_angle_alpha 90.00
_cell_angle_beta 120.03
_cell_angle_gamma 90.00
_symmetry_space_group_name_H-M 'C 1 2 1'
_symmetry_Int_Tables_number 5
loop_
_symmetry_equiv_pos_as_xyz
'x,y,z'
'-x,y,-z'
'x+1/2,y+1/2,z'
'-x+1/2,y+1/2,-z'
loop_
_atom_site_label
_atom_site_type_symbol
_atom_site_fract_x
_atom_site_fract_y
_atom_site_fract_z
Tl1 Tl 0.248 0.000 0.280
Cu1 Cu 0.000 0.980 0.500
Ge1 Ge 0.000 0.478 0.000
O1 O 0.074 0.733 0.313
O2 O 0.078 0.230 0.334
O3 O 0.199 0.448 0.066